1.
Here is a relaxed structure of Pu2MnFeGe6 from Alexandria via LeMat-Bulk. Energies are from PBE-GGA.

M_tot   83.57 μB per cell
DFT total energy   -76.35 eV/f.u.
Energy of formation   -0.235 eV per atom

Cell and atoms, written as CIF:
```
data_Pu2MnFeGe6
_cell_length_a 6.0739
_cell_length_b 6.0739
_cell_length_c 34.6119
_cell_angle_alpha 90.00
_cell_angle_beta 90.00
_cell_angle_gamma 120.00
_symmetry_space_group_name_H-M 'R -3 m'
_symmetry_Int_Tables_number 166
_symmetry_space_group_name_Hall '-R 3 2"'
loop_
_atom_site_label
_atom_site_type_symbol
_atom_site_fract_x
_atom_site_fract_y
_atom_site_fract_z
_atom_site_occupancy
Pu1 Pu 0.0000 0.0000 0.1153 1
Pu2 Pu 0.0000 0.0000 0.2932 1
Mn1 Mn 0.0000 0.0000 0.0000 1
Mn2 Mn 0.0000 0.0000 0.5000 1
Fe1 Fe 0.0000 0.0000 0.4277 1
Ge1 Ge 0.0373 0.5187 0.2916 1
Ge2 Ge 0.0552 0.5276 0.8715 1
```

=====

2.
Here is a relaxed structure of PuMnFeGe from Alexandria via LeMat-Bulk. Energies are from PBE-GGA.

M_tot   7.74 μB per cell
DFT total energy   -37.04 eV/f.u.
Energy of formation   -0.114 eV per atom

Cell and atoms, written as CIF:
```
data_PuMnFeGe
_cell_length_a 4.0236
_cell_length_b 4.0236
_cell_length_c 14.7348
_cell_angle_alpha 90.00
_cell_angle_beta 90.00
_cell_angle_gamma 120.00
_symmetry_space_group_name_H-M 'R 3 m'
_symmetry_Int_Tables_number 160
_symmetry_space_group_name_Hall 'R 3 -2"'
loop_
_atom_site_label
_atom_site_type_symbol
_atom_site_fract_x
_atom_site_fract_y
_atom_site_fract_z
_atom_site_occupancy
Pu1 Pu 0.0000 0.0000 0.0000 1
Mn1 Mn 0.0000 0.0000 0.5266 1
Fe1 Fe 0.0000 0.0000 0.2021 1
Ge1 Ge 0.0000 0.0000 0.7952 1
```